HoMgIn4Ni2 after structural relaxation. Source: OQMD, functional PBE.

Lattice parameters (Å, degrees): 7.533 4.256 10.128 90.00 90.00 90.00
Fractional coordinates of all 16 atoms:
1 Ho 0.000 0.000 0.000
2 Ho 0.000 0.500 0.500
3 Mg 0.500 0.000 0.873
4 Mg 0.500 0.500 0.373
5 In 0.205 0.000 0.291
6 In 0.205 0.500 0.791
7 In 0.305 0.000 0.581
8 In 0.305 0.500 0.081
9 In 0.695 0.000 0.581
10 In 0.695 0.500 0.081
11 In 0.795 0.000 0.291
12 In 0.795 0.500 0.791
13 Ni 0.000 0.000 0.716
14 Ni 0.000 0.500 0.216
15 Ni 0.500 0.000 0.147
16 Ni 0.500 0.500 0.647

## Properties
symmetry = Amm2


Ho3Mg3In2Pd after structural relaxation. Source: OQMD, functional PBE.

Lattice parameters (Å, degrees): 7.481 7.481 4.471 90.00 90.00 120.00
Fractional coordinates of all 9 atoms:
1 Ho 0.000 0.596 0.000
2 Ho 0.404 0.404 0.000
3 Ho 0.596 0.000 0.000
4 Mg 0.000 0.233 0.500
5 Mg 0.233 0.000 0.500
6 Mg 0.767 0.767 0.500
7 In 0.333 0.667 0.500
8 In 0.667 0.333 0.500
9 Pd 0.000 0.000 0.000

## Properties
symmetry = P-62m


Ho3Mg3InPd2 after structural relaxation. Source: OQMD, functional PBE.

Lattice parameters (Å, degrees): 7.342 7.342 4.383 90.00 90.00 120.00
Fractional coordinates of all 9 atoms:
1 Ho 0.000 0.572 0.000
2 Ho 0.428 0.428 0.000
3 Ho 0.572 0.000 0.000
4 Mg 0.000 0.255 0.500
5 Mg 0.255 0.000 0.500
6 Mg 0.745 0.745 0.500
7 In 0.000 0.000 0.000
8 Pd 0.333 0.667 0.500
9 Pd 0.667 0.333 0.500

## Properties
symmetry = P-62m


The total magnetic moment results, record by record, are as follows: 0.00 0.02 0.01 Bohr magnetons per cell.
The energy results, record by record, are as follows: -3.82 -3.70 -4.02 eV/atom.